1.
! K3In2Ge4 GGA-PBE relaxed; values from VASP
! ΔH_f (0 K) = -0.106 eV/atom
&SYSTEM
  ibrav = 0, nat = 9, ntyp = 3
/
ATOMIC_SPECIES
Ge 72.64 Ge.upf
K 39.10 K.upf
In 114.82 In.upf
CELL_PARAMETERS angstrom
-2.178 -3.103 2.438
4.455 -5.356 1.335
7.186 -1.018 9.299
ATOMIC_POSITIONS angstrom
Ge 8.349 -4.336 10.284
K 3.409 -2.768 7.865
In 2.801 -4.721 4.830
Ge 1.114 -5.140 2.789
Ge 5.044 -3.384 4.370
K 0.000 0.000 0.000
K 6.054 -6.708 5.207
Ge 4.419 -6.092 8.702
In 6.662 -4.755 8.243



2.
! Cs3HgS GGA-PBE relaxed; values from VASP
! Formation energy from raw total energies = -2.88 eV per formula unit
&SYSTEM
  ibrav = 0, nat = 5, ntyp = 3
/
ATOMIC_SPECIES
Hg 200.59 Hg.upf
Cs 132.91 Cs.upf
S 32.06 S.upf
CELL_PARAMETERS angstrom
6.788 0.000 0.000
0.000 6.788 0.000
0.000 0.000 6.788
ATOMIC_POSITIONS angstrom
Hg 3.394 3.394 3.394
Cs 0.000 0.000 3.394
Cs 0.000 3.394 0.000
S 0.000 0.000 0.000
Cs 3.394 0.000 0.000



> Number 2 is which compound?

Cs3HgS